Entry 1:
Density functional theory data (PBE) for crystalline Gd3SiPt4 at its relaxed geometry.

a = 5.785 Å, b = 4.079 Å, c = 7.129 Å
α = 90.00°, β = 92.75°, γ = 90.00°
Space group Pm (No. 6)
Unique sites:
Gd  0.000  0.000  0.000 [1 per cell]
Gd  0.247  0.000  0.500 [1 per cell]
Gd  0.511  0.500  0.140 [1 per cell]
Si  0.757  0.500  0.673 [1 per cell]
Pt  0.017  0.500  0.286 [1 per cell]
Pt  0.179  0.500  0.772 [1 per cell]
Pt  0.543  0.000  0.839 [1 per cell]
Pt  0.731  0.000  0.458 [1 per cell]

## Properties
The calculation puts the calculated total energy at -51.8 eV for the cell shown.

Entry 2:
Density functional theory data (PBE) for crystalline Lu2CoB at its relaxed geometry.

a = 6.227 Å, b = 6.227 Å, c = 6.227 Å
α = 90.00°, β = 90.00°, γ = 90.00°
Space group F-43m (No. 216)
Unique sites:
Lu  0.000  0.000  0.000 [4 per cell]
Lu  0.250  0.250  0.250 [4 per cell]
Co  0.250  0.250  0.750 [4 per cell]
B  0.000  0.000  0.500 [4 per cell]

## Properties
The energy above the most stable polymorph in this dataset comes out at 215.7 meV/atom.

Entry 3:
Density functional theory data (PBE) for crystalline NdNbNO at its relaxed geometry.

a = 3.879 Å, b = 6.787 Å, c = 4.726 Å
α = 90.00°, β = 90.00°, γ = 90.00°
Space group Pmc2_1 (No. 26)
Unique sites:
Nd  0.000  0.164  0.000 [2 per cell]
Nb  0.500  0.349  0.498 [2 per cell]
N  0.500  0.360  0.995 [2 per cell]
O  0.000  0.202  0.501 [2 per cell]

## Properties
The energy above the most stable polymorph in this dataset comes out at 156.3 meV/atom.

Entry 4:
Density functional theory data (PBE) for crystalline Pr2Pd2I at its relaxed geometry.

a = 4.4350 Å, b = 4.4350 Å, c = 8.4942 Å
α = 90.00°, β = 90.00°, γ = 120.00°
Space group P-6m2 (No. 187)
Unique sites:
Pr  0.0000  0.0000  0.2157 [2 per cell]
Pd  0.3333  0.6667  0.0000 [1 per cell]
Pd  0.6667  0.3333  0.0000 [1 per cell]
I  0.6667  0.3333  0.5000 [1 per cell]

## Properties
The calculation puts the calculated total energy at -25.6 eV for the cell shown.

Entry 5:
Density functional theory data (PBE) for crystalline LaErGa4Ir2 at its relaxed geometry.

a = 4.241 Å, b = 7.233 Å, c = 5.485 Å
α = 90.00°, β = 112.38°, γ = 90.00°
Space group Pm (No. 6)
Unique sites:
La  0.000  0.000  0.000 [1 per cell]
Er  0.854  0.500  0.707 [1 per cell]
Ga  0.285  0.204  0.565 [2 per cell]
Ga  0.574  0.310  0.148 [2 per cell]
Ir  0.139  0.500  0.280 [1 per cell]
Ir  0.724  0.000  0.440 [1 per cell]

## Properties
The calculation puts the calculated total energy at -45.1 eV for the cell shown.

Entry 6:
Density functional theory data (PBE) for crystalline PaZn at its relaxed geometry.

a = 2.997 Å, b = 5.016 Å, c = 10.664 Å
α = 90.00°, β = 90.00°, γ = 90.00°
Space group Pmmn (No. 59, origin choice 2)
Unique sites:
Pa  0.250  0.250  0.077 [2 per cell]
Pa  0.250  0.750  0.211 [2 per cell]
Zn  0.250  0.250  0.532 [2 per cell]
Zn  0.250  0.750  0.669 [2 per cell]

## Properties
The calculation puts the formation energy at 0.015 eV per atom.

Entry 7:
Density functional theory data (PBE) for crystalline MgGaCoCu at its relaxed geometry.

a = 5.964 Å, b = 5.964 Å, c = 5.964 Å
α = 90.00°, β = 90.00°, γ = 90.00°
Space group F-43m (No. 216)
Unique sites:
Mg  0.000  0.000  0.000 [4 per cell]
Ga  0.000  0.000  0.500 [4 per cell]
Co  0.250  0.250  0.250 [4 per cell]
Cu  0.250  0.250  0.750 [4 per cell]

## Properties
The energy above the most stable polymorph in this dataset comes out at 0.0 meV/atom.

Entry 8:
Density functional theory data (PBE) for crystalline ScRePd at its relaxed geometry.

a = 6.174 Å, b = 6.174 Å, c = 6.174 Å
α = 90.00°, β = 90.00°, γ = 90.00°
Space group F-43m (No. 216)
Unique sites:
Sc  0.000  0.000  0.000 [4 per cell]
Re  0.250  0.250  0.250 [4 per cell]
Pd  0.250  0.250  0.750 [4 per cell]

## Properties
The energy above the most stable polymorph in this dataset comes out at 412.6 meV/atom. The calculation puts the formation energy at 0.908 eV per atom.

Entry 9:
Density functional theory data (PBE) for crystalline LaMo at its relaxed geometry.

a = 3.0906 Å, b = 3.0906 Å, c = 5.4153 Å
α = 90.00°, β = 90.00°, γ = 120.00°
Space group P-6m2 (No. 187)
Unique sites:
La  0.0000  0.0000  0.0000 [1 per cell]
Mo  0.6667  0.3333  0.5000 [1 per cell]

## Properties
The energy above the most stable polymorph in this dataset comes out at 0.0 meV/atom. The calculation puts the formation energy at 0.933 eV per atom.

Entry 10:
Density functional theory data (PBE) for crystalline PbW2N at its relaxed geometry.

a = 10.135 Å, b = 5.852 Å, c = 13.506 Å
α = 90.00°, β = 104.66°, γ = 90.00°
Space group C2/c (No. 15)
Unique sites:
Pb  0.000  0.087  0.250 [4 per cell]
Pb  0.167  0.414  0.750 [8 per cell]
W  0.060  0.418  0.430 [8 per cell]
W  0.107  0.083  0.570 [8 per cell]
W  0.226  0.083  0.930 [8 per cell]
N  0.083  0.250  0.001 [8 per cell]
N  0.250  0.250  0.500 [4 per cell]

## Properties
The calculation puts the calculated total energy at -428.0 eV for the cell shown.

Entry 11:
Density functional theory data (PBE) for crystalline SrAu at its relaxed geometry.

a = 4.2484 Å, b = 4.2484 Å, c = 11.9180 Å
α = 90.00°, β = 90.00°, γ = 120.00°
Space group R-3m (No. 166, hexagonal axes)
Unique sites:
Sr  0.0000  0.0000  0.0000 [3 per cell]
Au  0.0000  0.0000  0.5000 [3 per cell]

## Properties
The calculation puts the calculated total energy at -18.8 eV for the cell shown.

Entry 12:
Density functional theory data (PBE) for crystalline ZrNb4Tc5 at its relaxed geometry.

a = 3.206 Å, b = 3.206 Å, c = 16.090 Å
α = 90.00°, β = 90.00°, γ = 90.00°
Space group P4/mmm (No. 123)
Unique sites:
Zr  0.000  0.000  0.000 [1 per cell]
Nb  0.000  0.000  0.202 [2 per cell]
Nb  0.000  0.000  0.401 [2 per cell]
Tc  0.500  0.500  0.107 [2 per cell]
Tc  0.500  0.500  0.303 [2 per cell]
Tc  0.500  0.500  0.500 [1 per cell]

## Properties
The calculation puts the formation energy at -0.356 eV per atom.